(1)
# Zn2Os

An optimized crystal structure of Zn2Os (PBE, the Alexandria database).

The structure belongs to space group Fd-3m (No. 227, origin choice 2); the cell edges are 6.8847, 6.8847 and 6.8847 Å and the angles 90.00°, 90.00° and 90.00°. The asymmetric unit holds Zn at (0.0000, 0.0000, 0.0000) and Os at (0.1250, 0.1250, 0.6250).

Its total energy is -101.69 eV/cell. The calculation puts the formation energy from the elements at 1.066 eV per formula unit.

---

(2)
# Er2Ga3Pd

An optimized crystal structure of Er2Ga3Pd (PBE, the Alexandria database).

The structure belongs to space group Cm (No. 8); the cell edges are 10.2635, 4.4206 and 7.0665 Å and the angles 90.00°, 132.15° and 90.00°. The asymmetric unit holds Er at (0.0000, 0.0000, 0.0000), Er at (0.0827, 0.0000, 0.5887), Ga at (0.2067, 0.5000, 0.3977), Ga at (0.3786, 0.0000, 0.1828), Ga at (0.3837, 0.0000, 0.5942) and Pd at (0.2089, 0.5000, 0.0074).

Its total energy is -56.01 eV/cell. The calculation puts the formation energy from the elements at -4.606 eV per formula unit.

---

(3)
# ZnInHg

An optimized crystal structure of ZnInHg (PBE, the Alexandria database).

The structure belongs to space group Imm2 (No. 44); the cell edges are 3.2433, 3.9130 and 10.8209 Å and the angles 90.00°, 90.00° and 90.00°. The asymmetric unit holds Zn at (0.0000, 0.0000, 0.0000), In at (0.0000, 0.0000, 0.3356) and Hg at (0.0000, 0.0000, 0.6446).

The value obtained for the energy above the most stable polymorph in this dataset is 49 meV per atom. Its total energy is -8.06 eV/cell. The calculation puts the formation energy from the elements at 0.283 eV per formula unit.

---

(4)
# Sm2DyEr8

An optimized crystal structure of Sm2DyEr8 (PBE, the Alexandria database).

The structure belongs to space group Immm (No. 71); the cell edges are 5.4756, 8.0383 and 15.8687 Å and the angles 90.00°, 90.00° and 90.00°. The asymmetric unit holds Sm at (0.0000, 0.0000, 0.2011), Dy at (0.0000, 0.0000, 0.5000), Er at (0.0000, 0.2079, 0.0000), Er at (0.0000, 0.2915, 0.3621) and Er at (0.0000, 0.5000, 0.1602).

The value obtained for the energy above the most stable polymorph in this dataset is 0 meV per atom. Its total energy is -98.51 eV/cell. The calculation puts the formation energy from the elements at 1.287 eV per formula unit.

---

(5)
# CrH

An optimized crystal structure of CrH (PBE, the Alexandria database).

The structure belongs to space group I-43m (No. 217); the cell edges are 5.1421, 5.1421 and 5.1421 Å and the angles 90.00°, 90.00° and 90.00°. The asymmetric unit holds Cr at (0.1919, 0.1919, 0.8081) and H at (0.1292, 0.1292, 0.1292).

Its total energy is -94.15 eV/cell.

---

(6)
# NaIn3I4

An optimized crystal structure of NaIn3I4 (PBE, the Alexandria database).

The structure belongs to space group Pmn2_1 (No. 31); the cell edges are 9.6809, 10.9780 and 6.8691 Å and the angles 90.00°, 90.00° and 90.00°. The asymmetric unit holds Na at (0.0000, 0.2036, 0.0000), In at (0.0000, 0.8969, 0.5010), In at (0.1930, 0.6472, 0.0002), I at (0.0000, 0.2295, 0.5004), I at (0.0000, 0.9220, 0.0014) and I at (0.2223, 0.6594, 0.5006).

The value obtained for the energy above the most stable polymorph in this dataset is 31 meV per atom. Its total energy is -41.34 eV/cell. The calculation puts the uncorrected formation energy at -0.62 eV per atom.

---

(7)
# SrCaGaAg

An optimized crystal structure of SrCaGaAg (PBE, the Alexandria database).

The structure belongs to space group Amm2 (No. 38); the cell edges are 4.6352, 4.2653 and 11.9323 Å and the angles 90.00°, 90.00° and 90.00°. The asymmetric unit holds Sr at (0.0000, 0.0000, 0.0000), Ca at (0.5000, 0.0000, 0.2888), Ga at (0.0000, 0.0000, 0.7192) and Ag at (0.5000, 0.0000, 0.5907).

Its total energy is -21.80 eV/cell. The calculation puts the formation energy from the elements at -1.340 eV per formula unit.

---

(8)
# KMg4Ta

An optimized crystal structure of KMg4Ta (PBE, the Alexandria database).

The structure belongs to space group F-43m (No. 216); the cell edges are 8.3533, 8.3533 and 8.3533 Å and the angles 90.00°, 90.00° and 90.00°. The asymmetric unit holds K at (0.0000, 0.0000, 0.0000), Mg at (0.1222, 0.1222, 0.6222) and Ta at (0.2500, 0.2500, 0.2500).

Its total energy is -60.78 eV/cell. The calculation puts the formation energy from the elements at 4.135 eV per formula unit.

---

(9)
# Co2NiHg

An optimized crystal structure of Co2NiHg (PBE, the Alexandria database).

The structure belongs to space group Cm (No. 8); the cell edges are 8.4886, 2.7799 and 4.7282 Å and the angles 90.00°, 101.64° and 90.00°. The asymmetric unit holds Co at (0.0000, 0.0000, 0.0000), Co at (0.2365, 0.5000, 0.1839), Ni at (0.2588, 0.0000, 0.7736) and Hg at (0.4987, 0.0000, 0.4944).

Its total energy is -37.82 eV/cell. The calculation puts the formation energy from the elements at 1.387 eV per formula unit.

---

(10)
# Ac2YCu9

An optimized crystal structure of Ac2YCu9 (PBE, the Alexandria database).

The structure belongs to space group R-3m (No. 166, hexagonal axes); the cell edges are 5.2633, 5.2633 and 26.6045 Å and the angles 90.00°, 90.00° and 120.00°. The asymmetric unit holds Ac at (0.0000, 0.0000, 0.1360), Y at (0.0000, 0.0000, 0.0000), Cu at (0.0000, 0.0000, 0.3322), Cu at (0.0000, 0.0000, 0.5000) and Cu at (0.0039, 0.5019, 0.0756).

Its total energy is -157.55 eV/cell. The calculation puts the formation energy from the elements at -0.969 eV per formula unit.

---

(11)
# Zr3UN4

An optimized crystal structure of Zr3UN4 (PBE, the Alexandria database).

The structure belongs to space group P2/c (No. 13); the cell edges are 5.7312, 6.6086 and 5.7327 Å and the angles 90.00°, 109.44° and 90.00°. The asymmetric unit holds Zr at (0.0000, 0.1211, 0.2500), Zr at (0.0000, 0.3730, 0.7500), Zr at (0.5000, 0.1248, 0.7500), U at (0.5000, 0.3707, 0.2500), N at (0.2475, 0.3730, 0.4976) and N at (0.2508, 0.1269, 0.0024).

The value obtained for the energy above the most stable polymorph in this dataset is 0 meV per atom. Its total energy is -166.42 eV/cell. The calculation puts the uncorrected formation energy at -1.62 eV per atom.

---

(12)
# Ti3ReSb

An optimized crystal structure of Ti3ReSb (PBE, the Alexandria database).

The structure belongs to space group Pm-3m (No. 221); the cell edges are 4.8557, 4.8557 and 4.8557 Å and the angles 90.00°, 90.00° and 90.00°. The asymmetric unit holds Ti at (0.0000, 0.0000, 0.5000), Re at (0.5000, 0.5000, 0.5000) and Sb at (0.0000, 0.0000, 0.0000).

The value obtained for the energy above the most stable polymorph in this dataset is 1041 meV per atom. Its total energy is -32.98 eV/cell. The calculation puts the uncorrected formation energy at 1.45 eV per atom.

---

- Which of these has the lowest total energy?
  Zr3UN4

---

- The lowest total energy belongs to which entry?
  Zr3UN4

---

- The lowest total energy belongs to which entry?
  Zr3UN4

---

- Among the records above, which one has the highest total energy?
  ZnInHg